[1]
Here is an optimized crystal structure of AlWBr2 from Alexandria via LeMat-Bulk. Energies are from PBEsol.

Lattice parameters (Å, degrees): 8.731 8.731 5.194 90.00 90.00 90.00
Fractional positions:
Al (0.000, 0.000, 0.000)
Al (0.000, 0.500, 0.250)
Al (0.500, 0.000, 0.750)
Al (0.500, 0.500, 0.500)
W (0.000, 0.000, 0.500)
W (0.000, 0.500, 0.750)
W (0.500, 0.000, 0.250)
W (0.500, 0.500, 0.000)
Br (0.118, 0.250, 0.625)
Br (0.250, 0.618, 0.875)
Br (0.250, 0.882, 0.375)
Br (0.382, 0.250, 0.125)
Br (0.618, 0.750, 0.125)
Br (0.750, 0.118, 0.375)
Br (0.750, 0.382, 0.875)
Br (0.882, 0.750, 0.625)

Output
- Uncorrected energy: -77.4 eV per cell
- Formation energy from raw total energies: 2.3 eV/f.u.
- Distance to the lowest polymorph of the same formula: 0.000 eV/f.u.

***

[2]
Here is an optimized crystal structure of AlW2Br from Alexandria via LeMat-Bulk. Energies are from PBEsol.

Lattice parameters (Å, degrees): 4.648 4.648 2.893 90.00 90.00 90.00
Fractional positions:
Al (0.000, 0.000, 0.000)
W (0.000, 0.500, 0.500)
W (0.500, 0.000, 0.500)
Br (0.500, 0.500, 0.000)

Output
- Uncorrected energy: -29.8 eV per cell
- Formation energy from raw total energies: 3.8 eV/f.u.
- Distance to the lowest polymorph of the same formula: 1.352 eV/f.u.

***

[3]
Here is an optimized crystal structure of AlWBr from Alexandria via LeMat-Bulk. Energies are from PBEsol.

Lattice parameters (Å, degrees): 6.241 6.241 6.241 90.00 90.00 90.00
Fractional positions:
Al (0.000, 0.000, 0.000)
Al (0.000, 0.500, 0.500)
Al (0.500, 0.000, 0.500)
Al (0.500, 0.500, 0.000)
W (0.250, 0.250, 0.250)
W (0.250, 0.750, 0.750)
W (0.750, 0.250, 0.750)
W (0.750, 0.750, 0.250)
Br (0.250, 0.250, 0.750)
Br (0.250, 0.750, 0.250)
Br (0.750, 0.250, 0.250)
Br (0.750, 0.750, 0.750)

Output
- Uncorrected energy: -59.4 eV per cell
- Formation energy from raw total energies: 4.9 eV/f.u.
- Distance to the lowest polymorph of the same formula: 3.181 eV/f.u.

***

[4]
Here is an optimized crystal structure of Al2WBr from Alexandria via LeMat-Bulk. Energies are from PBEsol.

Lattice parameters (Å, degrees): 3.220 3.220 6.943 90.00 90.00 90.00
Fractional positions:
Al (0.000, 0.000, 0.197)
Al (0.000, 0.000, 0.803)
W (0.500, 0.500, 0.000)
Br (0.500, 0.500, 0.500)

Output
- Uncorrected energy: -22.9 eV per cell
- Formation energy from raw total energies: 1.0 eV/f.u.
- Distance to the lowest polymorph of the same formula: 0.000 eV/f.u.

***

Number 4 is which compound?
Al2WBr

***

What is the uncorrected energy in the second record?
-29.8 eV per cell

***

What is the formula in the fourth record?
Al2WBr

***

Which of these has the highest uncorrected energy?
Al2WBr